(1)
A plane-wave DFT calculation with PBE+U was carried out for a geometry-optimized MnZn2HgF structure.

## Properties
total energy = -2.7288 eV/atom

Cell lengths 5.4419, 3.9886, 5.4419 Å; angles 90.00, 90.00, 90.00 degrees
Fractional positions:
Zn (0.0000, 0.0000, 0.5000)
Hg (0.5000, 0.5000, 0.5000)
Zn (0.5000, 0.0000, 0.0000)
Mn (0.0000, 0.0000, 0.0000)
F (0.0000, 0.5000, 0.0000)



(2)
A plane-wave DFT calculation with PBE+U was carried out for a geometry-optimized Hg3MoF structure.

## Properties
energy relative to the lowest polymorph listed for this composition = 15.6 meV per atom

Cell lengths 5.0582, 5.0582, 5.0582 Å; angles 90.00, 90.00, 90.00 degrees
Fractional positions:
Hg (0.5000, 0.0000, 0.0000)
Hg (0.0000, 0.5000, 0.0000)
Mo (0.5000, 0.5000, 0.5000)
Hg (0.0000, 0.0000, 0.5000)
F (0.0000, 0.0000, 0.0000)



(3)
A plane-wave DFT calculation with PBE+U was carried out for a geometry-optimized HgMoF2 structure.

## Properties
energy relative to the lowest polymorph listed for this composition = 451.7 meV per atom

Cell lengths 4.5152, 4.5152, 4.5152 Å; angles 60.00, 60.00, 60.00 degrees
Fractional positions:
Mo (0.0000, 0.0000, 0.0000)
F (0.2500, 0.2500, 0.2500)
F (0.7500, 0.7500, 0.7500)
Hg (0.5000, 0.5000, 0.5000)



(4)
A plane-wave DFT calculation with PBE+U was carried out for a geometry-optimized HgMo3F structure.

## Properties
total energy = -3.1737 eV/atom

Cell lengths 5.5506, 5.5506, 5.5506 Å; angles 90.00, 90.00, 90.00 degrees
Fractional positions:
Mo (0.5000, 0.0000, 0.0000)
Hg (0.0000, 0.0000, 0.0000)
Mo (0.0000, 0.5000, 0.0000)
F (0.5000, 0.5000, 0.5000)
Mo (0.0000, 0.0000, 0.5000)



(5)
A plane-wave DFT calculation with PBE+U was carried out for a geometry-optimized HgMo2F11 structure.

## Properties
total energy = -4.6230 eV/atom

Cell lengths 7.7757, 8.3160, 8.3160 Å; angles 73.31, 62.13, 62.13 degrees
Fractional positions:
F (0.7361, 0.6654, 0.0594)
F (0.8849, 0.4421, 0.3076)
F (0.0391, 0.1654, 0.5594)
Mo (0.8578, 0.1784, 0.8216)
F (0.2639, 0.3346, 0.9406)
Mo (0.3578, 0.3216, 0.6784)
F (0.1151, 0.5579, 0.6924)
F (0.1345, 0.0579, 0.1924)
F (0.2361, 0.5594, 0.1654)
Hg (0.2500, 0.2500, 0.2500)
F (0.1318, 0.2179, 0.7821)
F (0.4609, 0.9406, 0.3346)
F (0.6345, 0.6924, 0.5579)
F (0.9609, 0.8346, 0.4406)
F (0.6151, 0.1924, 0.0579)
F (0.6318, 0.2821, 0.7179)
Mo (0.1422, 0.8216, 0.1784)
F (0.3682, 0.7179, 0.2821)
F (0.3655, 0.3076, 0.4421)
F (0.3849, 0.8076, 0.9421)
F (0.8682, 0.7821, 0.2179)
F (0.7639, 0.4406, 0.8346)
F (0.5000, 0.5000, 0.5000)
F (0.8655, 0.9421, 0.8076)
F (0.0000, 0.0000, 0.0000)
Mo (0.6422, 0.6784, 0.3216)
Hg (0.7500, 0.7500, 0.7500)
F (0.5391, 0.0594, 0.6654)



(6)
A plane-wave DFT calculation with PBE+U was carried out for a geometry-optimized Hg2MoF5 structure.

## Properties
total energy = -3.9607 eV/atom

Cell lengths 4.2624, 6.5193, 6.7058 Å; angles 83.76, 71.44, 70.57 degrees
Fractional positions:
Mo (0.9645, 0.9997, 0.0000)
F (0.1437, 0.6759, 0.0001)
Hg (0.6463, 0.5025, 0.6415)
F (0.7851, 0.3238, 0.0000)
F (0.8114, 0.9994, 0.3057)
F (0.4646, 0.9996, 0.0000)
F (0.1170, 0.0009, 0.6943)
Hg (0.2903, 0.4983, 0.3585)



Number 1: total moment 0.90 μB/atom. Number 2: total moment 0.97 μB/atom. Number 3: total moment 1.00 μB/atom. Number 4: total moment 2.84 μB/atom. Number 5: total moment 0.21 μB/atom. Number 6: total moment 0.26 μB/atom.